DFT (PBE-GGA) results for a relaxed structure of PaZn2Ni.

Unit cell a=4.143 b=5.053 c=7.124 alpha=90.00 beta=90.00 gamma=114.26
Last column: magnetic moment on the atom in μB.
Fractional coordinates of all 8 atoms:
Pa1 0.928 0.856 0.250  0.06
Pa2 0.072 0.144 0.750  0.06
Zn1 0.360 0.720 0.554  0.00
Zn2 0.640 0.280 0.446  0.00
Zn3 0.360 0.720 0.946  0.00
Zn4 0.640 0.280 0.054  0.00
Ni1 0.788 0.577 0.750  0.00
Ni2 0.212 0.423 0.250  0.00

Properties
Fermi-level density of states (states/eV/cell): 8.14
VASP energy (eV per atom): -4.704
Space-group type: Cmcm (63)
ΔH_f (0 K) (eV/atom): -0.2478